A plane-wave DFT calculation with GGA-PBE was carried out for a relaxed structure of SbP2IrCl.

Values from the calculation:
Total DFT energy (no corrections)   -4.669 eV per atom
Excess energy over the best structure of this formula in the dataset   0 meV per atom

a b c (Å): 4.660 4.660 4.815
angles (deg): 90.00 90.00 90.00
Atoms (fractional coordinates):
Sb  0.000  0.000  0.000
P  0.000  0.500  0.500
P  0.500  0.000  0.500
Ir  0.500  0.500  0.500
Cl  0.500  0.500  0.000


A plane-wave DFT calculation with GGA-PBE was carried out for a relaxed structure of SbPIrCl2.

Values from the calculation:
Total DFT energy (no corrections)   -4.061 eV per atom
Excess energy over the best structure of this formula in the dataset   0 meV per atom

a b c (Å): 4.786 4.786 4.707
angles (deg): 90.00 90.00 90.00
Atoms (fractional coordinates):
Sb  0.000  0.000  0.000
P  0.500  0.500  0.000
Ir  0.500  0.500  0.500
Cl  0.000  0.500  0.500
Cl  0.500  0.000  0.500


A plane-wave DFT calculation with GGA-PBE was carried out for a relaxed structure of ScPIrCl2.

Values from the calculation:
Total DFT energy (no corrections)   -4.619 eV per atom
Excess energy over the best structure of this formula in the dataset   210 meV per atom

a b c (Å): 4.665 4.665 5.571
angles (deg): 90.00 90.00 90.00
Atoms (fractional coordinates):
Sc  0.000  0.000  0.000
P  0.000  0.000  0.500
Ir  0.500  0.500  0.500
Cl  0.000  0.500  0.000
Cl  0.500  0.000  0.000


A plane-wave DFT calculation with GGA-PBE was carried out for a relaxed structure of ScPIrCl2.

Values from the calculation:
Total DFT energy (no corrections)   -4.830 eV per atom
Excess energy over the best structure of this formula in the dataset   0 meV per atom

a b c (Å): 4.791 4.791 4.671
angles (deg): 90.00 90.00 90.00
Atoms (fractional coordinates):
Sc  0.000  0.000  0.000
P  0.500  0.500  0.000
Ir  0.500  0.500  0.500
Cl  0.000  0.500  0.500
Cl  0.500  0.000  0.500


A plane-wave DFT calculation with GGA-PBE was carried out for a relaxed structure of SiP2IrCl.

Values from the calculation:
Total DFT energy (no corrections)   -4.633 eV per atom
Excess energy over the best structure of this formula in the dataset   0 meV per atom

a b c (Å): 4.524 4.524 5.201
angles (deg): 90.00 90.00 90.00
Atoms (fractional coordinates):
Si  0.000  0.000  0.000
P  0.000  0.500  0.500
P  0.500  0.000  0.500
Ir  0.500  0.500  0.500
Cl  0.500  0.500  0.000


A plane-wave DFT calculation with GGA-PBE was carried out for a relaxed structure of SiP2IrCl.

Values from the calculation:
Total DFT energy (no corrections)   -4.347 eV per atom
Excess energy over the best structure of this formula in the dataset   286 meV per atom

a b c (Å): 4.513 4.513 4.264
angles (deg): 90.00 90.00 90.00
Atoms (fractional coordinates):
Si  0.000  0.000  0.000
P  0.000  0.500  0.000
P  0.500  0.000  0.000
Ir  0.500  0.500  0.500
Cl  0.000  0.000  0.500


A plane-wave DFT calculation with GGA-PBE was carried out for a relaxed structure of SiPIrCl2.

Values from the calculation:
Total DFT energy (no corrections)   -3.723 eV per atom
Excess energy over the best structure of this formula in the dataset   336 meV per atom

a b c (Å): 4.378 4.378 5.009
angles (deg): 90.00 90.00 90.00
Atoms (fractional coordinates):
Si  0.000  0.000  0.000
P  0.000  0.000  0.500
Ir  0.500  0.500  0.500
Cl  0.000  0.500  0.000
Cl  0.500  0.000  0.000


A plane-wave DFT calculation with GGA-PBE was carried out for a relaxed structure of SiPIrCl2.

Values from the calculation:
Total DFT energy (no corrections)   -4.059 eV per atom
Excess energy over the best structure of this formula in the dataset   0 meV per atom

a b c (Å): 4.887 4.887 4.549
angles (deg): 90.00 90.00 90.00
Atoms (fractional coordinates):
Si  0.000  0.000  0.000
P  0.500  0.500  0.000
Ir  0.500  0.500  0.500
Cl  0.000  0.500  0.500
Cl  0.500  0.000  0.500


Formation energy (no corrections), respectively: 0.46 0.36 0.24 0.03 0.76 1.04 0.95 0.62 eV per atom.